The following is a DFT calculation (SCAN) of a crystal of SrMnBe2 relaxed with PBEsol.

Output
Its volume is 62 Å³/f.u. Its formation energy is 0.4603 eV/atom. The space group is P4mm. The calculation puts the raw total energy at -11.849 eV/atom.

Lattice parameters (Å, degrees): 2.9256 2.9256 7.2997 90.00 90.00 90.00
With the nearest neighbours (Å) after each atom.
Atoms (fractional coordinates):
Be 0.0000 0.0000 0.0931  1 Mn 2.30, 4 Be 2.32
Mn 0.0000 0.0000 0.4083  5 Be 2.30-2.42
Sr 0.5000 0.5000 0.7625  4 Sr 2.93, 4 Be 3.18
Be 0.5000 0.5000 0.2361  4 Be 2.32, 4 Mn 2.42